Entry from the Alexandria database: an optimized crystal structure of CuOs2Rh (PBE-GGA).

a b c (Å): 2.7365 3.7774 5.3503
angles (deg): 90.00 90.00 90.00
Space group Pmm2 (No. 25)
Unique sites:
Cu: 0.0000 0.0000 0.0000 [1 per cell]
Os: 0.0000 0.0000 0.4902 [1 per cell]
Os: 0.5000 0.5000 0.2589 [1 per cell]
Rh: 0.5000 0.5000 0.7667 [1 per cell]

E above lowest polymorph   0 meV per atom
DOS at the Fermi energy   2.7 states/eV/cell
Formation enthalpy at 0 K   149.8 meV per atom